No. 1
A plane-wave DFT calculation with GGA-PBE was carried out for a geometry-optimized PrP3Pt6 structure.

Geometry as POSCAR:
```
PrP3Pt6
1.0
3.183 1.838 5.158
-3.183 1.838 5.158
0.000 -3.676 5.158
Pr P Pt
1 3 6
Direct
0.000 0.000 0.000
0.292 0.292 0.292
0.559 0.559 0.559
0.809 0.809 0.809
0.202 0.438 0.902
0.438 0.902 0.202
0.506 0.581 0.979
0.581 0.979 0.506
0.902 0.202 0.438
0.979 0.506 0.581
```

## Properties
density of states at the Fermi level: 4.1 states/eV per cell
uncorrected energy: -63.53 eV/f.u.



No. 2
A plane-wave DFT calculation with GGA-PBE was carried out for a geometry-optimized Tl3TeH structure.

Geometry as POSCAR:
```
Tl3TeH
1.0
5.174 0.000 0.000
0.000 5.174 0.000
0.000 0.000 5.174
Tl Te H
3 1 1
Direct
0.000 0.000 0.500
0.000 0.500 0.000
0.500 0.000 0.000
0.500 0.500 0.500
0.000 0.000 0.000
```

## Properties
density of states at the Fermi level: 0.2 states/eV per cell
relative energy among the computed polymorphs: 5.3 meV/atom